[1]
Entry from the Alexandria database: a relaxed Ac4TlHRh2 crystal (PBE).

POSCAR file:
```
Ac4TlHRh2
1.0
2.163 -7.354 0.000
2.163 7.354 0.000
0.000 0.000 15.129
Ac Tl H Rh
8 2 2 4
direct
0.000 0.000 0.000
0.000 0.000 0.500
0.265 0.735 0.611
0.265 0.735 0.889
0.419 0.581 0.250
0.581 0.419 0.750
0.735 0.265 0.111
0.735 0.265 0.389
0.109 0.891 0.250
0.891 0.109 0.750
0.166 0.834 0.750
0.834 0.166 0.250
0.370 0.630 0.061
0.370 0.630 0.439
0.630 0.370 0.561
0.630 0.370 0.939
```

Computed properties:
DOS at the Fermi energy ... 5.0 states/eV/f.u.
Total magnetization ... 0.00 μB per formula unit
Symmetry ... Cmcm (63)
Electronic total energy ... -5.166 eV/atom



[2]
Entry from the Alexandria database: a relaxed Nd2P4Ir3Ru crystal (PBE).

POSCAR file:
```
Nd2P4Ir3Ru
1.0
4.200 0.000 0.000
0.000 4.200 0.000
0.000 0.000 9.521
Nd P Ir Ru
2 4 3 1
direct
0.000 0.500 0.240
0.500 0.000 0.760
0.000 0.000 0.000
0.000 0.500 0.633
0.500 0.000 0.367
0.500 0.500 0.000
0.000 0.500 0.887
0.500 0.000 0.113
0.500 0.500 0.500
0.000 0.000 0.500
```

Computed properties:
DOS at the Fermi energy ... 4.1 states/eV/f.u.
ΔH_f (0 K) ... -985 kJ/mol of formula units
Total magnetization ... 0.00 μB per formula unit
Symmetry ... P-4m2 (115)
Electronic total energy ... -7.725 eV/atom



[3]
Entry from the Alexandria database: a relaxed MgC3 crystal (PBE).

POSCAR file:
```
MgC3
1.0
3.837 0.000 0.000
0.000 4.641 0.000
0.000 0.000 4.624
Mg C
2 6
direct
0.250 0.250 0.194
0.750 0.750 0.806
0.079 0.250 0.689
0.250 0.750 0.181
0.421 0.250 0.689
0.579 0.750 0.311
0.750 0.250 0.819
0.921 0.750 0.311
```

Computed properties:
DOS at the Fermi energy ... 0.4 states/eV/f.u.
ΔH_f (0 K) ... 256 kJ/mol of formula units
Total magnetization ... 0.00 μB per formula unit
Symmetry ... Pmmn (59)
Electronic total energy ... -6.652 eV/atom